Entry 1:
This record from Alexandria via LeMat-Bulk describes crystalline SiTc2HgPd at its relaxed geometry. The functional is PBE-GGA.

SG ... P4/mmm (123)
Energy relative to the elements, uncorrected ... 1.434 eV/atom
N(E_F) ... 5.0 states/eV/f.u.
Total DFT energy (no corrections) ... -4.8960 eV/atom

The structure in CIF format:
```
data_SiTc2HgPd
_chemical_formula_sum 'Si1 Tc2 Hg1 Pd1'
_symmetry_space_group_name_H-M 'P 1'
_symmetry_Int_Tables_number 1
_symmetry_space_group_name_Hall 'P 1'
_cell_length_a 4.989
_cell_length_b 4.413
_cell_length_c 4.989
_cell_angle_alpha 90.00
_cell_angle_beta 90.00
_cell_angle_gamma 90.00
loop_
_atom_site_label
_atom_site_type_symbol
_atom_site_fract_x
_atom_site_fract_y
_atom_site_fract_z
Si1 Si 0.000 0.500 0.000
Hg1 Hg 0.500 0.500 0.500
Pd1 Pd 0.000 0.000 0.000
Tc1 Tc 0.000 0.000 0.500
Tc2 Tc 0.500 0.000 0.000
```

---

Entry 2:
This record from Alexandria via LeMat-Bulk describes crystalline ZnOs2W at its relaxed geometry. The functional is PBE-GGA.

SG ... P4/mmm (123)
N(E_F) ... 4.4 states/eV/f.u.
Energy of formation ... 16.7 kJ/mol of atoms
Total DFT energy (no corrections) ... -8.9981 eV/atom

The structure in CIF format:
```
data_ZnOs2W
_chemical_formula_sum 'Zn1 Os2 W1'
_symmetry_space_group_name_H-M 'P 1'
_symmetry_Int_Tables_number 1
_symmetry_space_group_name_Hall 'P 1'
_cell_length_a 2.831
_cell_length_b 2.831
_cell_length_c 7.369
_cell_angle_alpha 90.00
_cell_angle_beta 90.00
_cell_angle_gamma 90.00
loop_
_atom_site_label
_atom_site_type_symbol
_atom_site_fract_x
_atom_site_fract_y
_atom_site_fract_z
Os1 Os 0.000 0.000 0.999
Os2 Os 0.000 0.000 0.501
W1 W 0.500 0.500 0.250
Zn1 Zn 0.500 0.500 0.750
```

---

Entry 3:
This record from Alexandria via LeMat-Bulk describes crystalline Ag3MoPd at its relaxed geometry. The functional is PBE-GGA.

SG ... Pm-3m (221)
Energy above the most stable polymorph in this dataset ... 0.408 eV per atom
N(E_F) ... 6.4 states/eV/f.u.
Energy of formation ... 168.2 kJ/mol of atoms
Total DFT energy (no corrections) ... -3.1720 eV/atom

The structure in CIF format:
```
data_Ag3MoPd
_chemical_formula_sum 'Ag3 Mo1 Pd1'
_symmetry_space_group_name_H-M 'P 1'
_symmetry_Int_Tables_number 1
_symmetry_space_group_name_Hall 'P 1'
_cell_length_a 5.010
_cell_length_b 5.010
_cell_length_c 5.010
_cell_angle_alpha 90.00
_cell_angle_beta 90.00
_cell_angle_gamma 90.00
loop_
_atom_site_label
_atom_site_type_symbol
_atom_site_fract_x
_atom_site_fract_y
_atom_site_fract_z
Mo1 Mo 0.000 0.000 0.000
Pd1 Pd 0.500 0.500 0.500
Ag1 Ag 0.000 0.500 0.000
Ag2 Ag 0.000 0.000 0.500
Ag3 Ag 0.500 0.000 0.000
```

---

Entry 4:
This record from Alexandria via LeMat-Bulk describes crystalline KLiIr at its relaxed geometry. The functional is PBE-GGA.

SG ... P3m1 (156)
Energy above the most stable polymorph in this dataset ... 0.193 eV per atom
N(E_F) ... 2.6 states/eV/f.u.
Energy of formation ... 50.6 kJ/mol of atoms
Total DFT energy (no corrections) ... -3.4335 eV/atom

The structure in CIF format:
```
data_KLiIr
_chemical_formula_sum 'K1 Li1 Ir1'
_symmetry_space_group_name_H-M 'P 1'
_symmetry_Int_Tables_number 1
_symmetry_space_group_name_Hall 'P 1'
_cell_length_a 2.904
_cell_length_b 2.904
_cell_length_c 8.198
_cell_angle_alpha 90.00
_cell_angle_beta 90.00
_cell_angle_gamma 120.00
loop_
_atom_site_label
_atom_site_type_symbol
_atom_site_fract_x
_atom_site_fract_y
_atom_site_fract_z
Ir1 Ir 0.000 0.000 0.974
K1 K 0.667 0.333 0.297
Li1 Li 0.333 0.667 0.730
```

---

Entry 5:
This record from Alexandria via LeMat-Bulk describes crystalline EuTlSnAu at its relaxed geometry. The functional is PBE-GGA.

SG ... F-43m (216)
N(E_F) ... 5.1 states/eV/f.u.
Energy of formation ... -41.0 kJ/mol of atoms
Total DFT energy (no corrections) ... -5.4048 eV/atom

The structure in CIF format:
```
data_EuTlSnAu
_chemical_formula_sum 'Eu1 Tl1 Sn1 Au1'
_symmetry_space_group_name_H-M 'P 1'
_symmetry_Int_Tables_number 1
_symmetry_space_group_name_Hall 'P 1'
_cell_length_a 5.259
_cell_length_b 5.259
_cell_length_c 5.259
_cell_angle_alpha 60.00
_cell_angle_beta 60.00
_cell_angle_gamma 60.00
loop_
_atom_site_label
_atom_site_type_symbol
_atom_site_fract_x
_atom_site_fract_y
_atom_site_fract_z
Eu1 Eu 0.750 0.750 0.750
Tl1 Tl 0.500 0.500 0.500
Au1 Au 0.000 0.000 0.000
Sn1 Sn 0.250 0.250 0.250
```

---

Entry 6:
This record from Alexandria via LeMat-Bulk describes crystalline Rb2BeGaCl6 at its relaxed geometry. The functional is PBE-GGA.

SG ... I4/mmm (139)
Energy relative to the elements, uncorrected ... -1.329 eV/atom
N(E_F) ... 2.2 states/eV/f.u.
Total DFT energy (no corrections) ... -3.3059 eV/atom

The structure in CIF format:
```
data_Rb2BeGaCl6
_chemical_formula_sum 'Rb2 Be1 Ga1 Cl6'
_symmetry_space_group_name_H-M 'P 1'
_symmetry_Int_Tables_number 1
_symmetry_space_group_name_Hall 'P 1'
_cell_length_a 6.953
_cell_length_b 6.953
_cell_length_c 7.047
_cell_angle_alpha 60.44
_cell_angle_beta 60.44
_cell_angle_gamma 90.00
loop_
_atom_site_label
_atom_site_type_symbol
_atom_site_fract_x
_atom_site_fract_y
_atom_site_fract_z
Be1 Be 0.500 0.500 0.000
Ga1 Ga 0.000 0.000 0.000
Rb1 Rb 0.750 0.250 0.500
Rb2 Rb 0.250 0.750 0.500
Cl1 Cl 0.253 0.253 0.494
Cl2 Cl 0.747 0.747 0.506
Cl3 Cl 0.269 0.269 0.000
Cl4 Cl 0.731 0.731 0.000
Cl5 Cl 0.731 0.269 0.000
Cl6 Cl 0.269 0.731 0.000
```

---

Question: The highest N(E_F) belongs to which entry?
Answer: Ag3MoPd

---

Question: Number 5 is which compound?
Answer: EuTlSnAu

---

Please write out number 4 again, unchanged.
This record from Alexandria via LeMat-Bulk describes crystalline KLiIr at its relaxed geometry. The functional is PBE-GGA.

SG ... P3m1 (156)
Energy above the most stable polymorph in this dataset ... 0.193 eV per atom
N(E_F) ... 2.6 states/eV/f.u.
Energy of formation ... 50.6 kJ/mol of atoms
Total DFT energy (no corrections) ... -3.4335 eV/atom

The structure in CIF format:
```
data_KLiIr
_chemical_formula_sum 'K1 Li1 Ir1'
_symmetry_space_group_name_H-M 'P 1'
_symmetry_Int_Tables_number 1
_symmetry_space_group_name_Hall 'P 1'
_cell_length_a 2.904
_cell_length_b 2.904
_cell_length_c 8.198
_cell_angle_alpha 90.00
_cell_angle_beta 90.00
_cell_angle_gamma 120.00
loop_
_atom_site_label
_atom_site_type_symbol
_atom_site_fract_x
_atom_site_fract_y
_atom_site_fract_z
Ir1 Ir 0.000 0.000 0.974
K1 K 0.667 0.333 0.297
Li1 Li 0.333 0.667 0.730
```